Computed, not measured: a crystal of TeHPb2 relaxed with PBEsol at the meta-GGA SCAN level of DFT.

POSCAR file:
```
TeHPb2
1.0
-2.978 2.978 6.327
2.978 -2.978 6.327
2.978 2.978 -6.327
Te H Pb
2 2 4
direct
0.000 0.000 0.000 Te
0.750 0.250 0.500 Te
0.250 0.750 0.500 H
0.500 0.500 0.000 H
0.246 0.625 0.121 Pb
0.375 0.496 0.621 Pb
0.504 0.125 0.879 Pb
0.875 0.754 0.379 Pb
```

Calculated values
- space group = I-42d (122)
- N(E_F) (states/eV per cell) = 3.13
- size of the total moment (μB per atom) = 0.00
- total energy (eV/atom) = -47.881